Version 1
Material: NaPSeS2
Method: DFT, PBE-GGA
State: optimized geometry

Cell lengths 4.973, 4.812, 4.973 Å; angles 90.00, 90.00, 90.00 degrees
Each line ends with the local moment (μB).
Positions (direct):
Se1 0.000 0.000 0.000  0.01
S1 0.000 0.000 0.500  0.12
S2 0.500 0.000 0.000  0.09
Na1 0.500 0.500 0.500  0.00
P1 0.000 0.500 0.000  0.44

Output
* space group: P4/mmm, No. 123
* DOS(E_F): 3.01 states/eV/cell

Version 2
Material: NaPSeS2
Method: DFT, PBE-GGA
State: optimized geometry

Cell lengths 4.804, 4.804, 5.158 Å; angles 90.00, 90.00, 90.00 degrees
Each line ends with the local moment (μB).
Positions (direct):
P1 0.000 0.000 0.500  0.45
S1 0.000 0.500 0.000  0.36
S2 0.500 0.000 0.000  0.36
Na1 0.000 0.000 0.000  0.01
Se1 0.500 0.500 0.500  0.14

Output
* space group: P4/mmm, No. 123
* DOS(E_F): 6.19 states/eV/cell

Need the numbers? Relative energies in meV per atom: version 1 0; version 2 933.

Version 1
Material: NaTaPS2
Method: DFT, PBE-GGA
State: optimized geometry

Cell lengths 4.823, 4.823, 4.888 Å; angles 90.00, 90.00, 90.00 degrees
Positions (direct):
S1 0.500 0.000 0.000
S2 0.000 0.500 0.000
P1 0.000 0.000 0.500
Ta1 0.000 0.000 0.000
Na1 0.500 0.500 0.500

Output
* space group: P4/mmm, No. 123
* DOS(E_F): 0.88 states/eV/cell

Version 2
Material: NaTaPS2
Method: DFT, PBE-GGA
State: optimized geometry

Cell lengths 4.627, 4.627, 4.619 Å; angles 90.00, 90.00, 90.00 degrees
Positions (direct):
S1 0.500 0.000 0.000
S2 0.000 0.500 0.000
Ta1 0.500 0.500 0.500
P1 0.000 0.000 0.500
Na1 0.000 0.000 0.000

Output
* space group: P4/mmm, No. 123
* DOS(E_F): 5.69 states/eV/cell

Need the numbers? Relative energies in meV per atom: version 1 0; version 2 1908.

Version 1
Material: NaTaP2S
Method: DFT, PBE-GGA
State: optimized geometry

Cell lengths 4.874, 4.874, 4.823 Å; angles 90.00, 90.00, 90.00 degrees
Positions (direct):
P1 0.000 0.500 0.000
P2 0.500 0.000 0.000
Na1 0.500 0.500 0.500
Ta1 0.000 0.000 0.000
S1 0.000 0.000 0.500

Output
* space group: P4/mmm, No. 123
* DOS(E_F): 4.41 states/eV/cell

Version 2
Material: NaTaP2S
Method: DFT, PBE-GGA
State: optimized geometry

Cell lengths 4.615, 4.615, 4.611 Å; angles 90.00, 90.00, 90.00 degrees
Positions (direct):
P1 0.000 0.500 0.000
P2 0.500 0.000 0.000
S1 0.000 0.000 0.500
Na1 0.000 0.000 0.000
Ta1 0.500 0.500 0.500

Output
* space group: P4/mmm, No. 123
* DOS(E_F): 6.36 states/eV/cell

Need the numbers? Relative energies in meV per atom: version 1 0; version 2 1799.